Computed, not measured: LaSi2Ni2 after structural relaxation at the PBE-GGA level of DFT.

The space group is P4/mbm (No. 127) and the conventional cell measures 7.4534, 7.4534 and 2.8749 Å, with angles of 90.00, 90.00 and 90.00 degrees. The asymmetric unit holds La at (0.0000, 0.0000, 0.0000), Si at (0.1460, 0.3540, 0.5000) and Ni at (0.1184, 0.6184, 0.0000).

As for the crystal system: tetragonal. The calculated total energy is -5.72 eV per atom. The density of states at the Fermi level comes out at 0.627 states/eV/atom. For the total magnetization, the calculation gives 0.00 μB/f.u. The calculation puts the calculated density at 6498 kg/m3.